# 1
Below is a geometry-optimized Ba8PdPt3Br4 structure, with properties calculated at the PBE-GGA level.

Properties
DOS(E_F) = 0.661 states/eV/atom
V = 604 Å³ per cell
E_form (uncorrected) = -1.241 eV per atom
Magnetic moment = 0.00 μB per cell

Cell and atoms, written as POSCAR:
```
Ba8PdPt3Br4
1.0
-8.378 3.059 -2.048
-3.704 -5.028 7.643
6.751 5.939 1.697
Ba Pd Pt Br
8 1 3 4
Cartesian
1.930 2.932 6.617
-1.416 -0.011 5.776
0.280 2.474 2.551
-2.222 4.448 5.602
-3.109 -0.478 1.691
-5.611 1.496 4.742
-3.915 3.981 1.517
-7.261 1.038 0.676
-1.852 -2.514 3.822
-6.041 -0.985 2.797
-2.665 1.985 3.646
1.523 0.455 4.670
-4.189 1.530 -1.024
-0.813 4.499 -0.175
0.000 0.000 0.000
3.376 2.969 0.849
```


# 2
Below is a geometry-optimized Ba6PdPt2Br structure, with properties calculated at the PBE-GGA level.

Properties
DOS(E_F) = 0.738 states/eV/atom
V = 426 Å³ per cell
E_form (uncorrected) = -0.777 eV per atom
Magnetic moment = 0.00 μB per cell

Cell and atoms, written as POSCAR:
```
Ba6PdPt2Br
1.0
-5.787 3.153 -4.586
-6.908 2.377 3.327
-1.311 8.802 0.676
Ba Pd Pt Br
6 1 2 1
Cartesian
-5.533 4.587 -1.758
-8.050 5.045 2.028
-9.725 6.385 -2.006
-8.327 9.632 1.172
-6.070 9.257 -2.465
-4.372 7.958 1.261
-4.160 2.015 -0.393
-7.050 7.056 -0.309
-1.347 8.716 0.663
-11.124 9.275 -0.671
```


# 3
Below is a geometry-optimized Rb2BaPdBr6 structure, with properties calculated at the PBE-GGA level.

Properties
DOS(E_F) = 0.000 states/eV/atom
V = 392 Å³ per cell
E_form (uncorrected) = -1.327 eV per atom
Magnetic moment = 2.00 μB per cell

Cell and atoms, written as POSCAR:
```
Rb2BaPdBr6
1.0
-1.361 -7.287 3.535
7.886 -2.009 -1.105
4.567 -2.377 6.399
Rb Br Ba Pd
2 6 1 1
Cartesian
3.234 -7.156 5.575
7.858 -4.517 3.255
3.862 -3.604 3.598
7.230 -8.069 5.231
1.763 -2.511 0.657
4.763 -6.785 1.774
1.137 -5.861 2.282
5.388 -3.435 0.149
0.000 0.000 0.000
3.263 -4.648 1.215
```


# 4
Below is a geometry-optimized RbBa2PdBr structure, with properties calculated at the PBE-GGA level.

Properties
DOS(E_F) = 1.553 states/eV/atom
V = 222 Å³ per cell
E_form (uncorrected) = -0.280 eV per atom
Magnetic moment = 0.00 μB per cell

Cell and atoms, written as POSCAR:
```
RbBa2PdBr
1.0
6.468 0.000 0.000
0.000 5.301 0.000
0.000 0.000 6.468
Rb Br Ba Pd
1 1 2 1
Cartesian
3.234 2.650 3.234
0.000 0.000 0.000
0.000 0.000 3.234
3.234 0.000 0.000
0.000 2.650 0.000
```


# 5
Below is a geometry-optimized Ba8Pd3RhBr4 structure, with properties calculated at the PBE-GGA level.

Properties
DOS(E_F) = 0.647 states/eV/atom
V = 606 Å³ per cell
E_form (uncorrected) = -1.079 eV per atom
Magnetic moment = 0.00 μB per cell

Cell and atoms, written as POSCAR:
```
Ba8Pd3RhBr4
1.0
9.172 0.000 0.000
0.000 9.856 0.470
-4.586 -4.580 6.489
Ba Pd Rh Br
8 3 1 4
Cartesian
-2.352 2.545 6.697
0.000 4.895 3.367
0.000 0.409 3.525
2.352 2.545 6.697
2.234 2.731 0.262
4.586 4.867 3.434
4.586 0.381 3.593
6.938 2.731 0.262
4.586 4.928 0.235
2.293 2.638 3.480
-2.293 2.638 3.480
0.000 4.928 0.235
4.586 0.000 0.000
2.293 -2.290 3.245
0.000 0.000 0.000
-2.293 -2.290 3.245
```


# 6
Below is a geometry-optimized Ba6Pd2RhBr3 structure, with properties calculated at the PBE-GGA level.

Properties
DOS(E_F) = 0.593 states/eV/atom
V = 453 Å³ per cell
E_form (uncorrected) = -1.067 eV per atom
Magnetic moment = 0.00 μB per cell

Cell and atoms, written as POSCAR:
```
Ba6Pd2RhBr3
1.0
7.941 0.001 0.001
-3.968 6.878 0.001
-1.324 -2.292 8.300
Ba Pd Rh Br
6 2 1 3
Cartesian
3.927 2.371 6.526
2.693 4.664 1.776
-1.278 2.216 1.777
0.091 4.586 6.526
-0.044 -0.077 6.527
2.558 0.000 1.777
0.001 4.586 0.001
3.972 2.293 0.001
0.000 0.000 0.000
-2.646 4.587 4.151
5.295 0.000 4.151
1.325 2.293 4.151
```


# 7
Below is a geometry-optimized Ba4PdRhBr2 structure, with properties calculated at the PBE-GGA level.

Properties
DOS(E_F) = 0.451 states/eV/atom
V = 300 Å³ per cell
E_form (uncorrected) = -1.034 eV per atom
Magnetic moment = 0.00 μB per cell

Cell and atoms, written as POSCAR:
```
Ba4PdRhBr2
1.0
4.578 0.000 0.000
0.000 7.928 0.145
0.000 -2.773 8.209
Ba Pd Rh Br
4 1 1 2
Cartesian
2.289 1.373 1.788
2.289 3.783 6.567
0.000 -0.037 6.505
0.000 5.192 1.850
0.000 0.000 0.000
2.289 3.964 0.073
2.289 -1.387 4.105
0.000 2.578 4.177
```


# 8
Below is a geometry-optimized Ba8PdRhBr2 structure, with properties calculated at the PBE-GGA level.

Properties
DOS(E_F) = 0.925 states/eV/atom
V = 585 Å³ per cell
E_form (uncorrected) = -0.684 eV per atom
Magnetic moment = 0.00 μB per cell

Cell and atoms, written as POSCAR:
```
Ba8PdRhBr2
1.0
-3.700 -4.926 -5.280
5.850 -5.220 0.494
-4.318 -4.184 6.929
Ba Pd Rh Br
8 1 1 2
Cartesian
2.885 -5.816 1.248
-2.325 -11.669 3.651
-2.840 -6.370 -2.654
-5.052 -8.513 0.895
0.158 -2.660 -1.508
0.673 -7.960 4.797
-0.171 -9.493 0.234
-1.996 -4.837 1.909
-2.159 -2.092 3.464
0.000 0.000 0.000
-2.166 -8.213 2.807
-0.002 -6.116 -0.664
```


# 9
Below is a geometry-optimized Ba6Pd2SBr3 structure, with properties calculated at the PBE-GGA level.

Properties
DOS(E_F) = 0.788 states/eV/atom
V = 458 Å³ per cell
E_form (uncorrected) = -1.345 eV per atom
Magnetic moment = 1.39 μB per cell

Cell and atoms, written as POSCAR:
```
Ba6Pd2SBr3
1.0
-1.141 5.328 -5.897
-6.250 -4.018 3.043
1.368 5.489 6.520
Ba Pd S Br
6 2 1 3
Cartesian
-3.708 6.870 1.458
-5.160 2.143 -0.709
-2.315 -0.071 2.208
-5.411 3.755 4.438
-0.863 4.657 4.375
-0.612 3.044 -0.772
-4.548 -0.904 0.064
-2.843 2.214 -2.918
0.000 0.000 0.000
-4.727 0.261 4.835
-1.296 6.538 -1.169
-3.012 3.400 1.833
```


# 10
Below is a geometry-optimized Ba6Pd2SBr2 structure, with properties calculated at the PBE-GGA level.

Properties
DOS(E_F) = 0.882 states/eV/atom
V = 452 Å³ per cell
E_form (uncorrected) = -1.151 eV per atom
Magnetic moment = 0.02 μB per cell

Cell and atoms, written as POSCAR:
```
Ba6Pd2SBr2
1.0
-7.542 2.818 0.512
2.143 -4.098 -6.611
-0.496 -6.312 5.454
Ba Pd S Br
6 2 1 2
Cartesian
-4.325 -5.443 -0.596
-0.073 -6.014 1.295
-1.570 -2.148 -0.049
-3.261 -3.737 3.639
-5.821 -1.578 -1.939
-2.634 -3.854 -4.283
-1.292 -4.978 -1.540
-4.603 -2.614 0.895
-0.248 -3.156 2.727
-5.957 1.686 -0.654
0.558 -2.966 -5.445
```


# 11
Below is a geometry-optimized Ba6Pd2SeBr3 structure, with properties calculated at the PBE-GGA level.

Properties
DOS(E_F) = 0.772 states/eV/atom
V = 469 Å³ per cell
E_form (uncorrected) = -1.338 eV per atom
Magnetic moment = 1.64 μB per cell

Cell and atoms, written as POSCAR:
```
Ba6Pd2SeBr3
1.0
-5.923 2.687 4.874
2.438 -7.740 0.453
6.740 3.773 3.846
Ba Pd Se Br
6 2 1 3
Cartesian
1.206 0.910 7.800
-1.083 -2.872 4.725
2.048 -2.190 1.374
4.065 -2.656 6.288
4.337 1.592 4.448
-0.811 1.376 2.886
-0.346 -4.268 1.925
-3.139 -0.785 3.402
0.000 0.000 0.000
4.451 -4.162 3.093
-1.197 2.882 6.080
1.627 -0.640 4.587
```


# 12
Below is a geometry-optimized Ba4PdSeBr2 structure, with properties calculated at the PBE-GGA level.

Properties
DOS(E_F) = 0.760 states/eV/atom
V = 310 Å³ per cell
E_form (uncorrected) = -1.455 eV per atom
Magnetic moment = 0.00 μB per cell

Cell and atoms, written as POSCAR:
```
Ba4PdSeBr2
1.0
4.613 0.000 0.000
0.000 8.424 -0.400
0.000 2.741 7.853
Ba Pd Se Br
4 1 1 2
Cartesian
0.000 8.100 5.600
4.613 3.066 1.853
2.306 6.803 1.814
2.306 4.363 5.639
0.000 5.583 3.727
2.306 6.953 7.653
0.000 2.741 7.853
2.306 1.371 3.927
```